# 1
LiLaZn2H8 | PBE | relaxed

Results
theoretical density: 3718 kg/m³
E: -3.24 eV per atom

abc: 4.6415 4.6415 6.8167
angles: 90.00 90.00 120.00
Fractional coordinates of all 12 atoms:
Zn 0.3333 0.6667 0.7334
Zn 0.6667 0.3333 0.2666
La 0.0000 0.0000 0.0000
H 0.6667 0.3333 0.0094
H 0.2969 0.2797 0.3008
H 0.3333 0.6667 0.9906
H 0.0172 0.2969 0.6992
H 0.7031 0.7203 0.6992
H 0.9828 0.7031 0.3008
H 0.2797 0.9828 0.6992
H 0.7203 0.0172 0.3008
Li 0.0000 0.0000 0.5000

# 2
LiLa2ZnH | PBE | relaxed

Results
theoretical density: 5345 kg/m³
E above lowest polymorph: 108.5 meV/atom

abc: 5.1038 5.1038 4.1878
angles: 90.00 90.00 90.00
Fractional coordinates of all 5 atoms:
Li 0.5000 0.5000 0.5000
La 0.5000 0.0000 0.0000
La 0.0000 0.5000 0.0000
Zn 0.0000 0.0000 0.5000
H 0.0000 0.0000 0.0000

# 3
LiLa2ZnH | PBE | relaxed

Results
theoretical density: 5421 kg/m³
E above lowest polymorph: 0.0 meV/atom

abc: 5.1993 5.1993 3.9793
angles: 90.00 90.00 90.00
Fractional coordinates of all 5 atoms:
La 0.0000 0.5000 0.0000
La 0.5000 0.0000 0.0000
Li 0.0000 0.0000 0.5000
H 0.0000 0.0000 0.0000
Zn 0.5000 0.5000 0.5000

- Among the records above, which one has the highest theoretical density?
  number 3